{"formula": "BaZnTe2N", "functional": "GGA-PBEsol", "state": "optimized geometry", "final_energy_ev_per_atom": -2.755, "e_form_raw_kj_per_mol_fu": 534, "space_group": "P4/mmm", "magmom_total_mub_per_atom": 0.860, "cell": [[6.5532, 0.0000, 0.0000], [0.0000, 6.5532, 0.0000], [0.0000, 0.0000, 5.0944]], "species": ["Ba", "Zn", "Te", "Te", "N"], "frac_coords": [[0.0000, 0.0000, 0.0000], [0.5000, 0.5000, 0.5000], [0.0000, 0.5000, 0.0000], [0.5000, 0.0000, 0.0000], [0.0000, 0.0000, 0.5000]]}

***

{"formula": "BaTi3N", "functional": "GGA-PBEsol", "state": "optimized geometry", "final_energy_ev_per_atom": -4.302, "e_form_raw_kj_per_mol_fu": 1364, "space_group": "Pm-3m", "magmom_total_mub_per_atom": 0.340, "cell": [[4.8628, 0.0000, 0.0000], [0.0000, 4.8628, 0.0000], [0.0000, 0.0000, 4.8628]], "species": ["Ba", "Ti", "Ti", "Ti", "N"], "frac_coords": [[0.0000, 0.0000, 0.0000], [0.0000, 0.0000, 0.5000], [0.0000, 0.5000, 0.0000], [0.5000, 0.0000, 0.0000], [0.5000, 0.5000, 0.5000]]}

***

{"formula": "BaTlN3", "functional": "GGA-PBEsol", "state": "optimized geometry", "final_energy_ev_per_atom": -4.899, "e_form_raw_kj_per_mol_fu": 566, "space_group": "Pm-3m", "magmom_total_mub_per_atom": 0.621, "cell": [[4.4131, 0.0000, 0.0000], [0.0000, 4.4131, 0.0000], [0.0000, 0.0000, 4.4131]], "species": ["Ba", "Tl", "N", "N", "N"], "frac_coords": [[0.0000, 0.0000, 0.0000], [0.5000, 0.5000, 0.5000], [0.0000, 0.5000, 0.5000], [0.5000, 0.0000, 0.5000], [0.5000, 0.5000, 0.0000]]}

***

{"formula": "BaTlN3", "functional": "GGA-PBEsol", "state": "optimized geometry", "final_energy_ev_per_atom": -4.111, "e_form_raw_kj_per_mol_fu": 946, "space_group": "Pm-3m", "magmom_total_mub_per_atom": 1.200, "cell": [[5.0917, 0.0000, 0.0000], [0.0000, 5.0917, 0.0000], [0.0000, 0.0000, 5.0917]], "species": ["Ba", "Tl", "N", "N", "N"], "frac_coords": [[0.0000, 0.0000, 0.0000], [0.5000, 0.5000, 0.5000], [0.0000, 0.0000, 0.5000], [0.0000, 0.5000, 0.0000], [0.5000, 0.0000, 0.0000]]}

***

{"formula": "Ba3V2N4", "functional": "GGA-PBEsol", "state": "optimized geometry", "final_energy_ev_per_atom": -7.652, "e_form_raw_kj_per_mol_fu": -873, "space_group": "Imma", "magmom_total_mub_per_atom": 0.000, "cell": [[-2.8892, 7.9416, 3.8724], [2.8892, -7.9416, 3.8724], [2.8892, 7.9416, -3.8724]], "species": ["Ba", "Ba", "Ba", "Ba", "Ba", "Ba", "V", "V", "V", "V", "N", "N", "N", "N", "N", "N", "N", "N"], "frac_coords": [[0.1732, 0.4232, 0.7500], [0.1816, 0.0680, 0.1136], [0.4543, 0.0680, 0.3864], [0.5457, 0.9320, 0.6136], [0.8184, 0.9320, 0.8864], [0.8268, 0.5768, 0.2500], [0.1013, 0.6430, 0.4582], [0.3152, 0.3570, 0.9582], [0.6848, 0.6430, 0.0418], [0.8987, 0.3570, 0.5418], [0.1605, 0.5843, 0.5762], [0.1605, 0.0000, 0.6605], [0.1605, 0.5000, 0.1605], [0.4918, 0.4157, 0.0762], [0.5082, 0.5843, 0.9238], [0.8395, 0.0000, 0.3395], [0.8395, 0.5000, 0.8395], [0.8395, 0.4157, 0.4238]]}

***

{"formula": "Ba4VN4", "functional": "GGA-PBEsol", "state": "optimized geometry", "final_energy_ev_per_atom": -6.732, "e_form_raw_kj_per_mol_fu": -796, "space_group": "P-1", "magmom_total_mub_per_atom": 0.000, "cell": [[6.6552, 0.0000, 0.0000], [2.4759, 6.6861, 0.0000], [2.4547, 2.6646, 9.0599]], "species": ["Ba", "Ba", "Ba", "Ba", "Ba", "Ba", "Ba", "Ba", "V", "V", "N", "N", "N", "N", "N", "N", "N", "N"], "frac_coords": [[0.0848, 0.2432, 0.4395], [0.1739, 0.1816, 0.0261], [0.3878, 0.6930, 0.8539], [0.4060, 0.2913, 0.6554], [0.5940, 0.7087, 0.3446], [0.6122, 0.3070, 0.1461], [0.8261, 0.8184, 0.9739], [0.9152, 0.7568, 0.5605], [0.1768, 0.6874, 0.2195], [0.8232, 0.3126, 0.7805], [0.0614, 0.0910, 0.7813], [0.1364, 0.4970, 0.1513], [0.2461, 0.5536, 0.4063], [0.4144, 0.7629, 0.1036], [0.5856, 0.2371, 0.8964], [0.7539, 0.4464, 0.5937], [0.8636, 0.5030, 0.8487], [0.9386, 0.9090, 0.2187]]}